# 1
DFT (PBE) results for a relaxed CsCdBi crystal.

Cell: 7.0410 7.0410 7.0410 Å, 132.28 96.44 102.43°
Positions (direct):
Cs 0.0000 0.0000 0.0000
Cs 0.6601 0.1601 0.5000
Cd 0.0809 0.7355 0.3454
Cd 0.3901 0.7355 0.6546
Bi 0.2586 0.4265 0.8322
Bi 0.5943 0.4265 0.1678

SG	Imm2, No. 44
energy of formation from the pure elements	-0.24	eV/atom
DOS at the Fermi energy	0.208	states/eV per cell


# 2
DFT (PBE) results for a relaxed Ba4SbBr4 crystal.

Cell: 8.3131 8.3131 12.1124 Å, 119.63 119.63 34.23°
Positions (direct):
Ba 0.0936 0.0936 0.3997
Ba 0.2943 0.2943 0.2081
Ba 0.7057 0.7057 0.7919
Ba 0.9064 0.9064 0.6003
Sb 0.5000 0.5000 0.5000
Br 0.1186 0.1186 0.8914
Br 0.3035 0.3035 0.7015
Br 0.6965 0.6965 0.2985
Br 0.8814 0.8814 0.1086

SG	C2/m, No. 12
formation energy (no corrections)	-1756.0	meV/atom
DOS at the Fermi energy	3.603	states/eV per cell


# 3
DFT (PBE) results for a relaxed Zr3AsO crystal.

Cell: 3.5866 7.0093 8.1380 Å, 100.85 92.74 102.93°
Positions (direct):
Zr 0.0368 0.4990 0.2187
Zr 0.2310 0.8614 0.6384
Zr 0.3366 0.2060 0.9601
Zr 0.6634 0.7940 0.0399
Zr 0.7690 0.1386 0.3616
Zr 0.9632 0.5010 0.7813
As 0.3363 0.2465 0.6142
As 0.6637 0.7535 0.3858
O 0.1778 0.8481 0.9021
O 0.8222 0.1519 0.0979

SG	P-1, No. 2
formation energy (no corrections)	-1226.0	meV/atom
DOS at the Fermi energy	7.163	states/eV per cell